1.
Computed, not measured: a relaxed CsCrB3 crystal at the GGA-PBE level of DFT.

Lattice parameters (Å, degrees): 4.2991 4.2991 4.2991 90.00 90.00 90.00
Sites, in units of the cell vectors:
Cs  0.0000  0.0000  0.0000
Cr  0.5000  0.5000  0.5000
B  0.0000  0.5000  0.5000
B  0.5000  0.0000  0.5000
B  0.5000  0.5000  0.0000

Output
DFT total energy	-4.732	eV/atom
size of the total moment	0.000	μB per cell



2.
Computed, not measured: a relaxed CsCrB3 crystal at the GGA-PBE level of DFT.

Lattice parameters (Å, degrees): 4.7952 4.7952 4.7952 90.00 90.00 90.00
Sites, in units of the cell vectors:
Cs  0.0000  0.0000  0.0000
Cr  0.5000  0.5000  0.5000
B  0.0000  0.0000  0.5000
B  0.0000  0.5000  0.0000
B  0.5000  0.0000  0.0000

Output
DFT total energy	-2.593	eV/atom
size of the total moment	4.385	μB per cell



Formation energy from the elements (meV per atom)
1370; 3509